1.
# AlHg2 PBE optimized geometry
# * N(E_F): 0.9 states/eV/f.u.
# * energy of formation from the pure elements: 0.17 eV/atom
# * calculated volume: 22.601 Å³/atom
# * magnetic moment: 0.0 μB/cell
data_AlHg2
_chemical_formula_sum 'Al2 Hg4'
_space_group_name_H-M_alt 'I 4/m m m'
_space_group_IT_number 139
_space_group_name_Hall '-I 4 2'
_cell_length_a 3.338
_cell_length_b 3.338
_cell_length_c 12.174
_cell_angle_alpha 90.00
_cell_angle_beta 90.00
_cell_angle_gamma 90.00
loop_
_atom_site_label
_atom_site_fract_x
_atom_site_fract_y
_atom_site_fract_z
_atom_site_occupancy
Al1 0.000 0.000 0.000 1
Hg1 0.000 0.000 0.346 1

2.
# AlHg2 PBE optimized geometry
# * N(E_F): 1.5 states/eV/f.u.
# * energy of formation from the pure elements: 0.36 eV/atom
# * calculated volume: 26.902 Å³/atom
# * magnetic moment: 0.0 μB/cell
data_AlHg2
_chemical_formula_sum 'Al4 Hg8'
_space_group_name_H-M_alt 'P 63/m m c'
_space_group_IT_number 194
_space_group_name_Hall '-P 6c 2c'
_cell_length_a 6.0179
_cell_length_b 6.0179
_cell_length_c 10.2931
_cell_angle_alpha 90.00
_cell_angle_beta 90.00
_cell_angle_gamma 120.00
loop_
_atom_site_label
_atom_site_fract_x
_atom_site_fract_y
_atom_site_fract_z
_atom_site_occupancy
Al1 0.3333 0.6667 0.0178 1
Hg1 0.0000 0.0000 0.0000 1
Hg2 0.1667 0.3335 0.2500 1

3.
# Al4Hg PBE optimized geometry
# * offset from the most stable computed form: 0.000 eV/atom
# * N(E_F): 2.0 states/eV/f.u.
# * energy of formation from the pure elements: 0.14 eV/atom
# * calculated volume: 18.198 Å³/atom
# * magnetic moment: 0.0 μB/cell
data_Al4Hg
_chemical_formula_sum 'Al8 Hg2'
_space_group_name_H-M_alt 'I 4/m'
_space_group_IT_number 87
_space_group_name_Hall '-I 4'
_cell_length_a 6.552
_cell_length_b 6.552
_cell_length_c 4.239
_cell_angle_alpha 90.00
_cell_angle_beta 90.00
_cell_angle_gamma 90.00
loop_
_atom_site_label
_atom_site_fract_x
_atom_site_fract_y
_atom_site_fract_z
_atom_site_occupancy
Al1 0.098 0.308 0.000 1
Hg1 0.000 0.000 0.500 1

4.
# Ho4Al3Hg PBE optimized geometry
# * offset from the most stable computed form: 0.000 eV/atom
# * N(E_F): 3.6 states/eV/f.u.
# * energy of formation from the pure elements: -0.41 eV/atom
# * calculated volume: 23.610 Å³/atom
# * magnetic moment: 0.0 μB/cell
data_Ho4Al3Hg
_chemical_formula_sum 'Ho4 Al3 Hg1'
_space_group_name_H-M_alt 'P 4/m m m'
_space_group_IT_number 123
_space_group_name_Hall '-P 4 2'
_cell_length_a 3.568
_cell_length_b 3.568
_cell_length_c 14.840
_cell_angle_alpha 90.00
_cell_angle_beta 90.00
_cell_angle_gamma 90.00
loop_
_atom_site_label
_atom_site_fract_x
_atom_site_fract_y
_atom_site_fract_z
_atom_site_occupancy
Ho1 0.000 0.000 0.121 1
Ho2 0.000 0.000 0.365 1
Al1 0.500 0.500 0.000 1
Al2 0.500 0.500 0.243 1
Hg1 0.500 0.500 0.500 1

5.
# Ho8Al2Hg PBE optimized geometry
# * offset from the most stable computed form: 0.036 eV/atom
# * N(E_F): 13.2 states/eV/f.u.
# * energy of formation from the pure elements: -0.15 eV/atom
# * calculated volume: 27.259 Å³/atom
# * magnetic moment: 0.0 μB/cell
data_Ho8Al2Hg
_chemical_formula_sum 'Ho16 Al4 Hg2'
_space_group_name_H-M_alt 'I m m m'
_space_group_IT_number 71
_space_group_name_Hall '-I 2 2'
_cell_length_a 4.990
_cell_length_b 8.336
_cell_length_c 14.418
_cell_angle_alpha 90.00
_cell_angle_beta 90.00
_cell_angle_gamma 90.00
loop_
_atom_site_label
_atom_site_fract_x
_atom_site_fract_y
_atom_site_fract_z
_atom_site_occupancy
Ho1 0.000 0.000 0.142 1
Ho2 0.000 0.215 0.339 1
Ho3 0.000 0.314 0.000 1
Al1 0.000 0.500 0.194 1
Hg1 0.000 0.500 0.500 1

6.
# Ho2AlHg4 PBE optimized geometry
# * N(E_F): 3.2 states/eV/f.u.
# * energy of formation from the pure elements: -0.26 eV/atom
# * calculated volume: 24.076 Å³/atom
# * magnetic moment: 0.0 μB/cell
data_Ho2AlHg4
_chemical_formula_sum 'Ho4 Al2 Hg8'
_space_group_name_H-M_alt 'C 1 2/m 1'
_space_group_IT_number 12
_cell_length_a 9.071
_cell_length_b 5.143
_cell_length_c 7.749
_cell_angle_alpha 90.00
_cell_angle_beta 111.20
_cell_angle_gamma 90.00
loop_
_space_group_symop_operation_xyz
'x,y,z'
'-x,-y,-z'
'-x,y,-z'
'x,-y,z'
'x+1/2,y+1/2,z'
'-x+1/2,-y+1/2,-z'
'-x+1/2,y+1/2,-z'
'x+1/2,-y+1/2,z'
loop_
_atom_site_label
_atom_site_fract_x
_atom_site_fract_y
_atom_site_fract_z
_atom_site_occupancy
Ho1 0.219 0.000 0.165 1
Al1 0.000 0.500 0.000 1
Hg1 0.080 0.000 0.733 1
Hg2 0.131 0.500 0.401 1

7.
# Ho7Al2Hg2 PBE optimized geometry
# * N(E_F): 12.7 states/eV/f.u.
# * energy of formation from the pure elements: -0.04 eV/atom
# * calculated volume: 29.050 Å³/atom
# * magnetic moment: 0.0 μB/cell
data_Ho7Al2Hg2
_chemical_formula_sum 'Ho14 Al4 Hg4'
_space_group_name_H-M_alt 'C m m m'
_space_group_IT_number 65
_space_group_name_Hall '-C 2 2'
_cell_length_a 7.686
_cell_length_b 10.891
_cell_length_c 7.635
_cell_angle_alpha 90.00
_cell_angle_beta 90.00
_cell_angle_gamma 90.00
loop_
_atom_site_label
_atom_site_fract_x
_atom_site_fract_y
_atom_site_fract_z
_atom_site_occupancy
Ho1 0.000 0.000 0.000 1
Ho2 0.000 0.500 0.271 1
Ho3 0.250 0.250 0.290 1
Al1 0.170 0.000 0.500 1
Hg1 0.000 0.293 0.000 1

8.
# Ho3AlHg2 PBE optimized geometry
# * N(E_F): 6.0 states/eV/f.u.
# * energy of formation from the pure elements: -0.44 eV/atom
# * calculated volume: 24.694 Å³/atom
# * magnetic moment: 0.0 μB/cell
data_Ho3AlHg2
_chemical_formula_sum 'Ho3 Al1 Hg2'
_space_group_name_H-M_alt 'P 4/m m m'
_space_group_IT_number 123
_space_group_name_Hall '-P 4 2'
_cell_length_a 3.664
_cell_length_b 3.664
_cell_length_c 11.035
_cell_angle_alpha 90.00
_cell_angle_beta 90.00
_cell_angle_gamma 90.00
loop_
_atom_site_label
_atom_site_fract_x
_atom_site_fract_y
_atom_site_fract_z
_atom_site_occupancy
Ho1 0.000 0.000 0.000 1
Ho2 0.000 0.000 0.340 1
Al1 0.500 0.500 0.500 1
Hg1 0.500 0.500 0.171 1

9.
# Ho2Al3Hg PBE optimized geometry
# * offset from the most stable computed form: 0.000 eV/atom
# * N(E_F): 2.6 states/eV/f.u.
# * energy of formation from the pure elements: -0.47 eV/atom
# * calculated volume: 21.538 Å³/atom
# * magnetic moment: 0.0 μB/cell
data_Ho2Al3Hg
_chemical_formula_sum 'Ho2 Al3 Hg1'
_space_group_name_H-M_alt 'P m m 2'
_space_group_IT_number 25
_cell_length_a 3.530
_cell_length_b 4.588
_cell_length_c 7.981
_cell_angle_alpha 90.00
_cell_angle_beta 90.00
_cell_angle_gamma 90.00
loop_
_space_group_symop_operation_xyz
'x,y,z'
'-x,-y,z'
'-x,y,z'
'x,-y,z'
loop_
_atom_site_label
_atom_site_fract_x
_atom_site_fract_y
_atom_site_fract_z
_atom_site_occupancy
Ho1 0.000 0.000 0.000 1
Ho2 0.000 0.500 0.484 1
Al1 0.500 0.000 0.325 1
Al2 0.500 0.000 0.654 1
Al3 0.500 0.500 0.162 1
Hg1 0.500 0.500 0.825 1

10.
# HoAlHg PBE optimized geometry
# * offset from the most stable computed form: 0.203 eV/atom
# * N(E_F): 1.9 states/eV/f.u.
# * energy of formation from the pure elements: -0.25 eV/atom
# * calculated volume: 22.544 Å³/atom
# * magnetic moment: 0.4 μB/cell
data_HoAlHg
_chemical_formula_sum 'Ho2 Al2 Hg2'
_space_group_name_H-M_alt 'I 4 m m'
_space_group_IT_number 107
_space_group_name_Hall 'I 4 -2'
_cell_length_a 3.435
_cell_length_b 3.435
_cell_length_c 11.464
_cell_angle_alpha 90.00
_cell_angle_beta 90.00
_cell_angle_gamma 90.00
loop_
_atom_site_label
_atom_site_fract_x
_atom_site_fract_y
_atom_site_fract_z
_atom_site_occupancy
Ho1 0.000 0.000 0.000 1
Al1 0.000 0.000 0.673 1
Hg1 0.000 0.000 0.316 1

11.
# Ho6AlHg2 PBE optimized geometry
# * N(E_F): 10.0 states/eV/f.u.
# * energy of formation from the pure elements: -0.26 eV/atom
# * calculated volume: 27.724 Å³/atom
# * magnetic moment: 0.0 μB/cell
data_Ho6AlHg2
_chemical_formula_sum 'Ho24 Al4 Hg8'
_space_group_name_H-M_alt 'I m m m'
_space_group_IT_number 71
_space_group_name_Hall '-I 2 2'
_cell_length_a 9.873
_cell_length_b 9.986
_cell_length_c 10.122
_cell_angle_alpha 90.00
_cell_angle_beta 90.00
_cell_angle_gamma 90.00
loop_
_atom_site_label
_atom_site_fract_x
_atom_site_fract_y
_atom_site_fract_z
_atom_site_occupancy
Ho1 0.000 0.173 0.230 1
Ho2 0.176 0.500 0.236 1
Ho3 0.195 0.247 0.500 1
Al1 0.000 0.000 0.500 1
Al2 0.000 0.500 0.500 1
Hg1 0.000 0.358 0.000 1
Hg2 0.151 0.000 0.000 1

12.
# Ho6Al2Hg PBE optimized geometry
# * N(E_F): 12.1 states/eV/f.u.
# * energy of formation from the pure elements: -0.06 eV/atom
# * calculated volume: 30.111 Å³/atom
# * magnetic moment: 0.0 μB/cell
data_Ho6Al2Hg
_chemical_formula_sum 'Ho12 Al4 Hg2'
_space_group_name_H-M_alt 'I m m m'
_space_group_IT_number 71
_space_group_name_Hall '-I 2 2'
_cell_length_a 5.011
_cell_length_b 7.153
_cell_length_c 15.122
_cell_angle_alpha 90.00
_cell_angle_beta 90.00
_cell_angle_gamma 90.00
loop_
_atom_site_label
_atom_site_fract_x
_atom_site_fract_y
_atom_site_fract_z
_atom_site_occupancy
Ho1 0.000 0.248 0.000 1
Ho2 0.000 0.250 0.332 1
Al1 0.000 0.000 0.167 1
Hg1 0.000 0.000 0.500 1